# 1
Mn4SiTeBr2O7: relaxed, GGA-PBEsol.

Cell and atoms, written as POSCAR:
```
Mn4SiTeBr2O7
1.0
5.4877 0.0000 -0.0218
0.0000 6.3730 0.0000
-0.8017 0.0000 12.8251
Si Mn Te Br O
2 8 2 4 14
Direct
0.6522 0.2500 0.9377
0.3478 0.7500 0.0623
0.6423 0.7500 0.8323
0.3577 0.2500 0.1677
0.8631 0.5027 0.1396
0.1369 0.4973 0.8604
0.4640 0.2500 0.6770
0.5360 0.7500 0.3230
0.1369 0.0027 0.8604
0.8631 0.9973 0.1396
0.2004 0.7500 0.6472
0.7996 0.2500 0.3528
0.9239 0.2500 0.6704
0.0761 0.7500 0.3296
0.3486 0.2500 0.4825
0.6514 0.7500 0.5175
0.9853 0.7500 0.7622
0.0147 0.2500 0.2378
0.6633 0.2500 0.0673
0.3367 0.7500 0.9327
0.3655 0.2500 0.8908
0.6345 0.7500 0.1092
0.7887 0.0338 0.9024
0.2113 0.5338 0.0976
0.2113 0.9662 0.0976
0.7887 0.4662 0.9024
0.3951 0.9545 0.7276
0.6049 0.4545 0.2724
0.6049 0.0455 0.2724
0.3951 0.5455 0.7276
```

Results
**Space-group type**: P2_1/m (11)
**E_form (uncorrected)**: -21.19 eV per formula unit
**Uncorrected energy**: -220.0 eV per cell



# 2
Mn2TeBrO: relaxed, GGA-PBEsol.

Cell and atoms, written as POSCAR:
```
Mn2TeBrO
1.0
5.4805 0.0000 0.0000
0.0000 5.0462 0.0000
0.0000 0.0000 5.0462
Mn Te O Br
2 1 1 1
Direct
0.0000 0.0000 0.5000
0.0000 0.5000 0.0000
0.0000 0.0000 0.0000
0.5000 0.5000 0.5000
0.5000 0.0000 0.0000
```

Results
**DOS(E_F)**: 6.00 states/eV/cell
**Space-group type**: P4/mmm (123)
**E_form (uncorrected)**: 6.17 eV per formula unit
**Uncorrected energy**: -24.0 eV per cell



# 3
MnOs2Br: relaxed, GGA-PBEsol.

Cell and atoms, written as POSCAR:
```
MnOs2Br
1.0
2.9947 0.0000 0.0000
0.0000 2.9947 0.0000
0.0000 0.0000 6.6284
Br Mn Os
1 1 2
Direct
0.5000 0.5000 0.0000
0.5000 0.5000 0.5000
0.0000 0.0000 0.7043
0.0000 0.0000 0.2957
```

Results
**DOS(E_F)**: 3.02 states/eV/cell
**Offset from the most stable computed form**: 0.0 meV/atom
**Space-group type**: P4/mmm (123)
**E_form (uncorrected)**: 3.30 eV per formula unit
**Uncorrected energy**: -32.8 eV per cell



# 4
MnOs2Br: relaxed, GGA-PBEsol.

Cell and atoms, written as POSCAR:
```
MnOs2Br
1.0
-2.1273 -0.0537 -1.8044
0.0884 -1.8785 2.0610
-4.8173 5.8147 5.5064
Br Mn Os
1 1 2
Direct
0.0000 0.0000 0.4656
0.5000 0.5000 0.2398
0.0000 0.0000 0.0122
0.5000 0.5000 0.7824
```

Results
**DOS(E_F)**: 3.85 states/eV/cell
**Offset from the most stable computed form**: 77.1 meV/atom
**Space-group type**: Cmm2 (35)
**E_form (uncorrected)**: 3.61 eV per formula unit
**Uncorrected energy**: -32.4 eV per cell



# 5
MnOs3Br: relaxed, GGA-PBEsol.

Cell and atoms, written as POSCAR:
```
MnOs3Br
1.0
-1.8491 1.5247 3.7952
-4.0682 -0.2561 -1.8793
-0.4218 -4.2140 1.4874
Mn Os Br
1 3 1
Direct
0.5000 0.5000 0.5000
0.0000 0.5000 0.0000
0.0000 0.0000 0.5000
0.5000 0.0000 0.0000
0.0000 0.0000 0.0000
```

Results
**DOS(E_F)**: 5.59 states/eV/cell
**Space-group type**: Pm-3m (221)
**E_form (uncorrected)**: 12.33 eV per formula unit
**Uncorrected energy**: -36.0 eV per cell



# 6
MnOs2Br: relaxed, GGA-PBEsol.

Cell and atoms, written as POSCAR:
```
MnOs2Br
1.0
2.8639 -0.0075 0.0000
-0.1733 4.5645 0.0000
-1.3453 -2.2785 4.5893
Br Mn Os
1 1 2
Direct
0.5000 0.0000 0.0000
0.0000 0.5000 0.0000
0.0000 0.0000 0.5000
0.5000 0.5000 0.5000
```

Results
**DOS(E_F)**: 4.03 states/eV/cell
**Offset from the most stable computed form**: 236.7 meV/atom
**Space-group type**: C2/m (12)
**E_form (uncorrected)**: 4.25 eV per formula unit
**Uncorrected energy**: -31.8 eV per cell



# 7
Mn4PBr: relaxed, GGA-PBEsol.

Cell and atoms, written as POSCAR:
```
Mn4PBr
1.0
-4.6058 -0.2513 -1.6851
-0.9914 -2.5759 -4.0618
-2.5031 -4.2133 0.3143
Br Mn P
1 4 1
Direct
0.0000 0.0000 0.0000
0.3765 0.3765 0.3765
0.3765 0.3765 0.8704
0.8704 0.3765 0.3765
0.3765 0.8704 0.3765
0.7500 0.7500 0.7500
```

Results
**DOS(E_F)**: 7.12 states/eV/cell
**Space-group type**: F-43m (216)
**E_form (uncorrected)**: 4.81 eV per formula unit
**Uncorrected energy**: -41.9 eV per cell



# 8
MnPS2Br: relaxed, GGA-PBEsol.

Cell and atoms, written as POSCAR:
```
MnPS2Br
1.0
-3.8339 0.1015 -1.7868
1.0346 -3.3212 -2.4086
-1.6776 -3.0091 3.4286
P S Mn Br
1 2 1 1
Direct
0.0000 0.0000 0.5000
0.0000 0.5000 0.0000
0.5000 0.0000 0.0000
0.0000 0.0000 0.0000
0.5000 0.5000 0.5000
```

Results
**DOS(E_F)**: 4.62 states/eV/cell
**Space-group type**: P4/mmm (123)
**E_form (uncorrected)**: 1.39 eV per formula unit
**Uncorrected energy**: -24.8 eV per cell



Question: Look up the E_form (uncorrected) of the first one.
Answer: -21.19 eV per formula unit